[1]
A crystal of MnCrP4 relaxed with PBEsol, computed with meta-GGA SCAN.

a b c (Å): 4.894 4.894 4.894
angles (deg): 60.00 60.00 60.00
Positions (direct):
1 P 0.626 0.626 0.122
2 P 0.626 0.626 0.626
3 P 0.122 0.626 0.626
4 P 0.626 0.122 0.626
5 Cr 0.250 0.250 0.250
6 Mn 0.000 0.000 0.000

Computed properties:
SG = F-43m, No. 216
Volume = 82.88 Å³ per cell
E = -74.4 eV per cell



[2]
A crystal of NbP2S2Cl5 relaxed with PBEsol, computed with meta-GGA SCAN.

a b c (Å): 6.385 13.156 26.342
angles (deg): 90.00 93.92 90.00
Positions (direct):
1 S 0.341 0.536 0.805
2 S 0.044 0.783 0.667
3 S 0.629 0.541 0.072
4 S 0.841 0.964 0.305
5 S 0.871 0.041 0.428
6 S 0.247 0.913 0.381
7 S 0.159 0.036 0.695
8 S 0.456 0.283 0.833
9 S 0.253 0.413 0.119
10 S 0.371 0.459 0.928
11 S 0.659 0.464 0.195
12 S 0.753 0.087 0.619
13 S 0.544 0.717 0.167
14 S 0.956 0.217 0.333
15 S 0.129 0.959 0.572
16 S 0.747 0.587 0.881
17 P 0.411 0.587 0.881
18 P 0.911 0.913 0.381
19 P 0.447 0.583 0.204
20 P 0.079 0.150 0.402
21 P 0.921 0.850 0.598
22 P 0.089 0.087 0.619
23 P 0.421 0.650 0.098
24 P 0.053 0.083 0.296
25 P 0.307 0.059 0.358
26 P 0.693 0.941 0.642
27 P 0.947 0.917 0.704
28 P 0.553 0.417 0.796
29 P 0.579 0.350 0.902
30 P 0.807 0.441 0.858
31 P 0.589 0.413 0.119
32 P 0.193 0.559 0.142
33 Cl 0.189 0.635 0.377
34 Cl 0.943 0.247 0.204
35 Cl 0.027 0.803 0.086
36 Cl 0.921 0.295 0.749
37 Cl 0.649 0.605 0.465
38 Cl 0.116 0.992 0.824
39 Cl 0.421 0.205 0.249
40 Cl 0.851 0.105 0.035
41 Cl 0.651 0.038 0.772
42 Cl 0.390 0.133 0.500
43 Cl 0.579 0.795 0.751
44 Cl 0.572 0.727 0.986
45 Cl 0.072 0.773 0.486
46 Cl 0.999 0.609 0.576
47 Cl 0.473 0.303 0.414
48 Cl 0.499 0.891 0.076
49 Cl 0.811 0.365 0.623
50 Cl 0.151 0.462 0.272
51 Cl 0.890 0.367 0.000
52 Cl 0.610 0.867 0.500
53 Cl 0.973 0.197 0.914
54 Cl 0.557 0.747 0.296
55 Cl 0.079 0.705 0.251
56 Cl 0.384 0.492 0.676
57 Cl 0.443 0.253 0.704
58 Cl 0.689 0.865 0.877
59 Cl 0.001 0.391 0.424
60 Cl 0.616 0.508 0.324
61 Cl 0.110 0.633 0.000
62 Cl 0.349 0.962 0.228
63 Cl 0.351 0.395 0.535
64 Cl 0.501 0.109 0.924
65 Cl 0.928 0.227 0.514
66 Cl 0.884 0.008 0.176
67 Cl 0.849 0.538 0.728
68 Cl 0.057 0.753 0.796
69 Cl 0.311 0.135 0.123
70 Cl 0.428 0.273 0.014
71 Cl 0.149 0.895 0.965
72 Cl 0.527 0.697 0.586
73 Nb 0.326 0.609 0.300
74 Nb 0.222 0.285 0.474
75 Nb 0.674 0.391 0.700
76 Nb 0.174 0.109 0.200
77 Nb 0.722 0.215 0.974
78 Nb 0.778 0.715 0.526
79 Nb 0.826 0.891 0.800
80 Nb 0.278 0.785 0.026

Computed properties:
SG = P2_1/c, No. 14
Volume = 2207.71 Å³ per cell
Energy relative to the elements, uncorrected = -9.072 eV per formula unit



[3]
A crystal of AlCoF5 relaxed with PBEsol, computed with meta-GGA SCAN.

a b c (Å): 3.531 5.123 5.123
angles (deg): 73.61 69.84 69.84
Positions (direct):
1 F 0.500 0.202 0.798
2 F 0.742 0.258 0.258
3 F 0.000 0.500 0.500
4 F 0.500 0.798 0.202
5 F 0.258 0.742 0.742
6 Co 0.000 0.000 0.000
7 Al 0.500 0.500 0.500

Computed properties:
SG = Immm, No. 71
Volume = 80.23 Å³ per cell
Energy relative to the elements, uncorrected = -21.032 eV per formula unit



[4]
A crystal of BaAl2 relaxed with PBEsol, computed with meta-GGA SCAN.

a b c (Å): 4.431 4.612 8.387
angles (deg): 90.00 105.32 90.00
Positions (direct):
1 Al 0.347 0.750 0.693
2 Al 0.653 0.250 0.307
3 Al 0.748 0.750 0.496
4 Al 0.252 0.250 0.504
5 Ba 0.088 0.750 0.176
6 Ba 0.912 0.250 0.824

Computed properties:
SG = Cmcm, No. 63
Volume = 165.29 Å³ per cell
E = -111.3 eV per cell



[5]
A crystal of Rb2NaPbF6 relaxed with PBEsol, computed with meta-GGA SCAN.

a b c (Å): 6.315 6.315 6.315
angles (deg): 60.00 60.00 60.00
Positions (direct):
1 Pb 0.000 0.000 0.000
2 F 0.249 0.751 0.751
3 F 0.249 0.249 0.751
4 F 0.751 0.249 0.751
5 F 0.249 0.751 0.249
6 F 0.751 0.249 0.249
7 F 0.751 0.751 0.249
8 Rb 0.750 0.750 0.750
9 Rb 0.250 0.250 0.250
10 Na 0.500 0.500 0.500

Computed properties:
SG = Fm-3m, No. 225
Volume = 178.07 Å³ per cell
Energy relative to the elements, uncorrected = -26.282 eV per formula unit



[6]
A crystal of Be2CuRu relaxed with PBEsol, computed with meta-GGA SCAN.

a b c (Å): 3.821 3.821 3.821
angles (deg): 60.00 60.00 60.00
Positions (direct):
1 Ru 0.500 0.500 0.500
2 Be 0.750 0.750 0.750
3 Be 0.250 0.250 0.250
4 Cu 0.000 0.000 0.000

Computed properties:
E above lowest polymorph = 41 meV per atom
SG = Fm-3m, No. 225
Volume = 39.46 Å³ per cell



[7]
A crystal of TaIrCl relaxed with PBEsol, computed with meta-GGA SCAN.

a b c (Å): 2.938 2.938 6.264
angles (deg): 103.56 103.56 90.00
Positions (direct):
1 Ta 0.332 0.332 0.664
2 Ir 0.695 0.695 0.390
3 Cl 0.973 0.973 0.946

Computed properties:
E above lowest polymorph = 0 meV per atom
SG = I4mm, No. 107
Volume = 51.01 Å³ per cell
Energy relative to the elements, uncorrected = -0.879 eV per formula unit



[8]
A crystal of IrAu2Cl relaxed with PBEsol, computed with meta-GGA SCAN.

a b c (Å): 3.877 3.877 5.197
angles (deg): 111.90 111.90 90.00
Positions (direct):
1 Cl 0.500 0.500 0.000
2 Au 0.750 0.250 0.500
3 Au 0.250 0.750 0.500
4 Ir 0.000 0.000 0.000

Computed properties:
E above lowest polymorph = 433 meV per atom
SG = I4/mmm, No. 139
Volume = 66.37 Å³ per cell
Energy relative to the elements, uncorrected = 3.831 eV per formula unit



[9]
A crystal of MoPNCl2 relaxed with PBEsol, computed with meta-GGA SCAN.

a b c (Å): 4.171 4.171 4.219
angles (deg): 90.00 90.00 90.00
Positions (direct):
1 N 0.000 0.000 0.000
2 Cl 0.500 0.000 0.000
3 Cl 0.000 0.500 0.000
4 Mo 0.500 0.500 0.500
5 P 0.000 0.000 0.500

Computed properties:
SG = P4/mmm, No. 123
Volume = 73.39 Å³ per cell
Energy relative to the elements, uncorrected = 6.576 eV per formula unit



[10]
A crystal of Nb2TlTcRh relaxed with PBEsol, computed with meta-GGA SCAN.

a b c (Å): 4.658 4.658 5.041
angles (deg): 90.00 90.00 90.00
Positions (direct):
1 Nb 0.000 0.500 0.000
2 Nb 0.500 0.000 0.000
3 Rh 0.500 0.500 0.500
4 Tl 0.000 0.000 0.500
5 Tc 0.000 0.000 0.000

Computed properties:
SG = P4/mmm, No. 123
Volume = 109.37 Å³ per cell
E = -201.2 eV per cell



[11]
A crystal of CaLa2P relaxed with PBEsol, computed with meta-GGA SCAN.

a b c (Å): 3.911 4.231 8.107
angles (deg): 105.13 90.00 90.00
Positions (direct):
1 Ca 0.500 0.585 0.170
2 La 0.000 0.916 0.832
3 La 0.500 0.267 0.534
4 P 0.000 0.731 0.463

Computed properties:
SG = Amm2, No. 38
Volume = 129.52 Å³ per cell
E = -109.1 eV per cell



[12]
A crystal of Zr3ZnO relaxed with PBEsol, computed with meta-GGA SCAN.

a b c (Å): 4.378 4.378 4.378
angles (deg): 90.00 90.00 90.00
Positions (direct):
1 Zr 0.000 0.000 0.500
2 Zr 0.500 0.000 0.000
3 Zr 0.000 0.500 0.000
4 Zn 0.500 0.500 0.500
5 O 0.000 0.000 0.000

Computed properties:
SG = Pm-3m, No. 221
Volume = 83.93 Å³ per cell
Energy relative to the elements, uncorrected = -6.056 eV per formula unit



[13]
A crystal of K2MnHg relaxed with PBEsol, computed with meta-GGA SCAN.

a b c (Å): 3.605 3.605 11.726
angles (deg): 81.16 81.16 60.00
Positions (direct):
1 Hg 0.000 0.000 0.000
2 Mn 0.500 0.500 0.500
3 K 0.748 0.748 0.755
4 K 0.252 0.252 0.245

Computed properties:
SG = R-3m, No. 166
Volume = 129.87 Å³ per cell
E = -101.6 eV per cell



[14]
A crystal of LiMg17Al11 relaxed with PBEsol, computed with meta-GGA SCAN.

a b c (Å): 9.029 9.029 9.053
angles (deg): 109.58 109.58 109.18
Positions (direct):
1 Al 0.814 0.632 0.998
2 Al 0.181 0.366 0.368
3 Al 0.184 0.818 0.186
4 Al 0.632 0.814 0.998
5 Al 0.634 0.001 0.814
6 Al 0.001 0.816 0.632
7 Al 0.366 0.181 0.368
8 Al 0.189 0.189 0.823
9 Al 0.001 0.634 0.814
10 Al 0.818 0.184 0.186
11 Al 0.816 0.001 0.632
12 Mg 0.398 0.713 0.397
13 Mg 0.682 0.682 0.284
14 Mg 0.713 0.398 0.397
15 Mg 0.345 0.002 0.001
16 Mg 0.600 0.999 0.315
17 Mg 0.317 0.001 0.600
18 Mg 0.999 0.600 0.315
19 Mg 0.315 0.601 0.000
20 Mg 0.601 0.315 0.000
21 Mg 0.002 0.002 0.002
22 Mg 0.001 0.317 0.600
23 Mg 0.655 0.655 0.653
24 Mg 0.285 0.685 0.685
25 Mg 0.998 0.998 0.347
26 Mg 0.685 0.285 0.685
27 Mg 0.399 0.399 0.716
28 Mg 0.002 0.345 0.001
29 Li 0.366 0.366 0.184

Computed properties:
SG = Cm, No. 8
Volume = 568.66 Å³ per cell
E = -172.9 eV per cell



[15]
A crystal of YMg2Sc relaxed with PBEsol, computed with meta-GGA SCAN.

a b c (Å): 5.178 5.178 5.178
angles (deg): 60.00 60.00 60.00
Positions (direct):
1 Mg 0.250 0.250 0.250
2 Mg 0.750 0.750 0.750
3 Sc 0.000 0.000 0.000
4 Y 0.500 0.500 0.500

Computed properties:
E above lowest polymorph = 10 meV per atom
SG = Fm-3m, No. 225
Volume = 98.14 Å³ per cell



[16]
A crystal of MgOsW relaxed with PBEsol, computed with meta-GGA SCAN.

a b c (Å): 3.068 3.068 5.444
angles (deg): 106.37 106.37 90.00
Positions (direct):
1 Mg 0.005 0.005 0.009
2 Os 0.678 0.678 0.356
3 W 0.317 0.317 0.635

Computed properties:
E above lowest polymorph = 0 meV per atom
SG = I4mm, No. 107
Volume = 46.98 Å³ per cell



[17]
A crystal of RbBaW3 relaxed with PBEsol, computed with meta-GGA SCAN.

a b c (Å): 4.920 4.920 4.920
angles (deg): 90.00 90.00 90.00
Positions (direct):
1 W 0.000 0.500 0.000
2 W 0.000 0.000 0.500
3 W 0.500 0.000 0.000
4 Ba 0.500 0.500 0.500
5 Rb 0.000 0.000 0.000

Computed properties:
SG = Pm-3m, No. 221
Volume = 119.06 Å³ per cell
E = -249.3 eV per cell



[18]
A crystal of KTe2Au relaxed with PBEsol, computed with meta-GGA SCAN.

a b c (Å): 4.130 5.175 6.689
angles (deg): 97.14 90.00 90.00
Positions (direct):
1 K 0.500 0.500 0.000
2 Te 0.000 0.032 0.248
3 Te 0.000 0.968 0.752
4 Au 0.500 0.000 0.500

Computed properties:
SG = P2/m, No. 10
Volume = 141.86 Å³ per cell
Energy relative to the elements, uncorrected = -2.388 eV per formula unit



[19]
A crystal of LaYMg2 relaxed with PBEsol, computed with meta-GGA SCAN.

a b c (Å): 3.396 5.154 6.676
angles (deg): 90.00 104.70 90.00
Positions (direct):
1 La 0.201 0.500 0.777
2 Mg 0.815 0.000 0.003
3 Mg 0.940 0.500 0.257
4 Y 0.544 0.000 0.463

Computed properties:
SG = Amm2, No. 38
Volume = 113.02 Å³ per cell
E = -81.1 eV per cell



[20]
A crystal of HgP relaxed with PBEsol, computed with meta-GGA SCAN.

a b c (Å): 3.214 3.214 9.925
angles (deg): 80.68 80.68 60.00
Positions (direct):
1 P 0.355 0.355 0.936
2 P 0.645 0.645 0.064
3 Hg 0.117 0.117 0.649
4 Hg 0.883 0.883 0.351

Computed properties:
E above lowest polymorph = 3 meV per atom
SG = R-3m, No. 166
Volume = 87.24 Å³ per cell



[21]
A crystal of LaY2Sc relaxed with PBEsol, computed with meta-GGA SCAN.

a b c (Å): 4.976 4.976 5.944
angles (deg): 114.75 114.75 90.00
Positions (direct):
1 Sc 0.250 0.750 0.500
2 Y 0.000 0.000 0.000
3 Y 0.750 0.250 0.500
4 La 0.500 0.500 0.000

Computed properties:
E above lowest polymorph = 10 meV per atom
SG = I-4m2, No. 119
Volume = 118.61 Å³ per cell



[22]
A crystal of KSrMo relaxed with PBEsol, computed with meta-GGA SCAN.

a b c (Å): 5.597 5.597 5.597
angles (deg): 60.00 60.00 60.00
Positions (direct):
1 Mo 0.000 0.000 0.000
2 K 0.250 0.250 0.250
3 Sr 0.500 0.500 0.500

Computed properties:
E above lowest polymorph = 230 meV per atom
SG = F-43m, No. 216
Volume = 124.01 Å³ per cell



[23]
A crystal of K3CrF6 relaxed with PBEsol, computed with meta-GGA SCAN.

a b c (Å): 5.601 6.443 5.865
angles (deg): 112.88 98.79 111.41
Positions (direct):
1 F 0.974 0.254 0.920
2 F 0.280 0.254 0.334
3 F 0.720 0.746 0.666
4 F 0.270 0.000 0.834
5 F 0.026 0.746 0.080
6 F 0.730 0.000 0.166
7 K 0.285 0.569 0.785
8 K 0.715 0.431 0.215
9 K 0.500 0.000 0.500
10 Cr 0.000 0.000 0.000

Computed properties:
SG = C2/m, No. 12
Volume = 170.47 Å³ per cell
Energy relative to the elements, uncorrected = -30.740 eV per formula unit